(1)
Compound: TmThSbTe
Source: the Alexandria database
Functional: PBE-GGA
Structure: relaxed

Cell lengths 4.413, 4.413, 6.264 Å; angles 90.00, 90.00, 90.00 degrees
Fractional positions:
Tm1 0.000 0.000 0.000
Th1 0.500 0.500 0.500
Sb1 0.500 0.500 0.000
Te1 0.000 0.000 0.500

Properties
DOS at the Fermi energy (states/eV/cell): 2.897
Energy relative to the elements, uncorrected (meV per atom): -1026
E_tot (eV per cell): -23.261
E above lowest polymorph (meV/atom): 0

(2)
Compound: TmThSbTe
Source: the Alexandria database
Functional: PBE-GGA
Structure: relaxed

Cell lengths 5.379, 5.379, 5.379 Å; angles 60.00, 60.00, 60.00 degrees
Fractional positions:
Tm1 0.000 0.000 0.000
Th1 0.500 0.500 0.500
Sb1 0.250 0.250 0.250
Te1 0.750 0.750 0.750

Properties
DOS at the Fermi energy (states/eV/cell): 3.786
Energy relative to the elements, uncorrected (meV per atom): -929
E_tot (eV per cell): -22.869
E above lowest polymorph (meV/atom): 98

Question: Look up the E above lowest polymorph of the first one.
Answer: 0 meV/atom

Question: Which of these has the lowest E above lowest polymorph?
Answer: number 1